LiBiTe2O8 | the Alexandria database | PBE | optimized geometry; uncorrected formation energy = -0.9977 eV per atom; ρ = 5.3 g/cm³; total magnetic moment = 0.00 μB per cell
1.0
-3.7346 3.7346 3.3613
3.7346 -3.7346 3.3613
3.7346 3.7346 -3.3613
Li Bi Te O
1 1 2 8
Direct
0.0000 0.0000 0.0000
0.2500 0.7500 0.5000
0.5000 0.5000 0.0000
0.7500 0.2500 0.5000
0.3230 0.1345 0.8115
0.3230 0.5114 0.1885
0.3819 0.0696 0.3123
0.4886 0.6770 0.8115
0.7572 0.0696 0.6877
0.8655 0.6770 0.1885
0.9304 0.2428 0.3123
0.9304 0.6181 0.6877